Density functional theory data (PBE) for a geometry-optimized V2CoSnRh structure.

The space group is P4/mmm (No. 123) and the conventional cell measures 4.823, 4.823 and 4.744 Å, with angles of 90.00, 90.00 and 90.00 degrees. The inequivalent atoms are V at (0.000, 0.500, 0.000), Co at (0.000, 0.000, 0.500), Sn at (0.500, 0.500, 0.000) and Rh at (0.500, 0.500, 0.500).

***

Density functional theory data (PBE) for a geometry-optimized ZnCoSnRh structure.

The space group is F-43m (No. 216) and the conventional cell measures 6.155, 6.155 and 6.155 Å, with angles of 90.00, 90.00 and 90.00 degrees. The inequivalent atoms are Zn at (0.000, 0.000, 0.000), Co at (0.250, 0.250, 0.250), Sn at (0.000, 0.000, 0.500) and Rh at (0.250, 0.250, 0.750).

***

Number 1: formation energy from the elements 181.4 kJ per mole of atoms, mass density 5.8 Mg/m³. Number 2: formation energy from the elements -21.8 kJ per mole of atoms, mass density 9.9 Mg/m³.